## Pm2NdTl3S6 (PBE)

Data for a geometry-optimized Pm2NdTl3S6 structure.

Cell and atoms, written as POSCAR:
```
Pm2NdTl3S6
1.0
3.6034 -6.2412 0.0000
3.6034 6.2412 0.0000
-2.4029 0.0000 7.4998
Pm Nd Tl S
2 1 3 6
Cartesian
3.6034 4.1608 0.0000 Pm
3.6034 -4.1608 0.0000 Pm
3.6034 0.0000 0.0000 Nd
-1.2015 0.0000 3.7499 Tl
2.4020 2.0803 3.7499 Tl
2.4020 -2.0803 3.7499 Tl
-0.0075 2.0922 5.9728 S
1.1877 0.0000 1.5240 S
-0.0075 -2.0922 5.9728 S
4.8114 2.0922 1.5270 S
3.6162 0.0000 5.9758 S
4.8114 -2.0922 1.5270 S
```

## Properties
Crystal system: monoclinic
Raw total energy: -0.38997 Ry/atom
Space group: C2/m, No. 12